No. 1
Here is a geometry-optimized Ga2Co6B structure from the Alexandria database. Energies are from PBE.

The energy relative to the elements comes out at 0.089 eV/atom. Its raw total energy is -0.446 Ry per atom. The magnetization comes out at 6.53 μB/f.u.

The structure belongs to space group Immm (No. 71); the cell edges are 3.998, 6.585 and 7.775 Å and the angles 90.00°, 90.00° and 90.00°. The distinct sites, in fractional coordinates, are Ga at (0.000, 0.000, 0.172), Co at (0.000, 0.289, 0.347), Co at (0.000, 0.334, 0.000) and B at (0.000, 0.000, 0.500).


No. 2
Here is a geometry-optimized GaCo6B2 structure from the Alexandria database. Energies are from PBE.

The energy relative to the elements comes out at -0.182 eV/atom. Its raw total energy is -0.495 Ry per atom. The magnetization comes out at 5.24 μB/f.u.

The structure belongs to space group Immm (No. 71); the cell edges are 6.703, 6.937 and 7.548 Å and the angles 90.00°, 90.00° and 90.00°. The distinct sites, in fractional coordinates, are Ga at (0.000, 0.000, 0.000), Ga at (0.000, 0.000, 0.500), Co at (0.000, 0.210, 0.240), Co at (0.197, 0.500, 0.183), Co at (0.206, 0.308, 0.500), B at (0.000, 0.356, 0.000) and B at (0.000, 0.500, 0.382).


No. 3
Here is a geometry-optimized GaCo3B structure from the Alexandria database. Energies are from PBE.

The energy relative to the elements comes out at -0.148 eV/atom. Its raw total energy is -0.467 Ry per atom. The magnetization comes out at 1.49 μB/f.u.

The structure belongs to space group P6_3/mmc (No. 194); the cell edges are 5.2867, 5.2867 and 4.3387 Å and the angles 90.00°, 90.00° and 120.00°. The distinct sites, in fractional coordinates, are Ga at (0.3333, 0.6667, 0.2500), Co at (0.1767, 0.3533, 0.7500) and B at (0.0000, 0.0000, 0.0000).


No. 4
Here is a geometry-optimized GaCo3B structure from the Alexandria database. Energies are from PBE.

The energy relative to the elements comes out at 1.800 eV/atom. Its raw total energy is -0.324 Ry per atom. The magnetization comes out at 4.39 μB/f.u.

The structure belongs to space group Pm-3m (No. 221); the cell edges are 4.284, 4.284 and 4.284 Å and the angles 90.00°, 90.00° and 90.00°. The distinct sites, in fractional coordinates, are Ga at (0.000, 0.000, 0.000), Co at (0.000, 0.000, 0.500) and B at (0.500, 0.500, 0.500).


For reference, DOS at the Fermi energy by record: 16.8 35.3 8.9 9.1 states/eV/cell.